1.
Density functional theory data (PBE) for a geometry-optimized HgBSe2 structure.

Output
Relative energy among the computed polymorphs = 235.4 meV/atom
Crystal system = trigonal
Calculated total energy = -3.13 eV/atom
Space group = R-3m, No. 166

The structure in CIF format:
```
data_HgBSe2
_cell_length_a 10.010
_cell_length_b 10.010
_cell_length_c 10.010
_cell_angle_alpha 18.21
_cell_angle_beta 18.21
_cell_angle_gamma 18.21
_symmetry_space_group_name_H-M 'P 1'
_symmetry_Int_Tables_number 1
_symmetry_space_group_name_Hall 'P 1'
loop_
_atom_site_label
_atom_site_type_symbol
_atom_site_fract_x
_atom_site_fract_y
_atom_site_fract_z
B1 B 0.500 0.500 0.500
Hg1 Hg 0.000 0.000 0.000
Se1 Se 0.121 0.121 0.121
Se2 Se 0.879 0.879 0.879
```

---

2.
Density functional theory data (PBE) for a geometry-optimized HgBSe2 structure.

Output
Relative energy among the computed polymorphs = 57.5 meV/atom
Crystal system = trigonal
Calculated total energy = -3.31 eV/atom
Space group = R-3m, No. 166

The structure in CIF format:
```
data_HgBSe2
_cell_length_a 6.933
_cell_length_b 6.933
_cell_length_c 6.933
_cell_angle_alpha 42.06
_cell_angle_beta 42.06
_cell_angle_gamma 42.06
_symmetry_space_group_name_H-M 'P 1'
_symmetry_Int_Tables_number 1
_symmetry_space_group_name_Hall 'P 1'
loop_
_atom_site_label
_atom_site_type_symbol
_atom_site_fract_x
_atom_site_fract_y
_atom_site_fract_z
Se1 Se 0.096 0.096 0.096
Se2 Se 0.904 0.904 0.904
B1 B 0.000 0.000 0.000
Hg1 Hg 0.500 0.500 0.500
```

---

3.
Density functional theory data (PBE) for a geometry-optimized Hg2BSe structure.

Output
Relative energy among the computed polymorphs = 0.0 meV/atom
Crystal system = tetragonal
Calculated total energy = -2.04 eV/atom
Space group = I-42d, No. 122

The structure in CIF format:
```
data_Hg2BSe
_cell_length_a 6.173
_cell_length_b 6.173
_cell_length_c 6.561
_cell_angle_alpha 61.94
_cell_angle_beta 61.94
_cell_angle_gamma 90.00
_symmetry_space_group_name_H-M 'P 1'
_symmetry_Int_Tables_number 1
_symmetry_space_group_name_Hall 'P 1'
loop_
_atom_site_label
_atom_site_type_symbol
_atom_site_fract_x
_atom_site_fract_y
_atom_site_fract_z
Se1 Se 0.750 0.250 0.500
Se2 Se 0.000 0.000 0.000
Hg1 Hg 0.557 0.125 0.250
Hg2 Hg 0.375 0.443 0.750
Hg3 Hg 0.875 0.807 0.750
Hg4 Hg 0.193 0.625 0.250
B1 B 0.500 0.500 0.000
B2 B 0.250 0.750 0.500
```

---

4.
Density functional theory data (PBE) for a geometry-optimized Hg3BSe structure.

Output
Relative energy among the computed polymorphs = 0.0 meV/atom
Crystal system = cubic
Calculated total energy = -1.65 eV/atom
Space group = Pm-3m, No. 221

The structure in CIF format:
```
data_Hg3BSe
_cell_length_a 4.741
_cell_length_b 4.741
_cell_length_c 4.741
_cell_angle_alpha 90.00
_cell_angle_beta 90.00
_cell_angle_gamma 90.00
_symmetry_space_group_name_H-M 'P 1'
_symmetry_Int_Tables_number 1
_symmetry_space_group_name_Hall 'P 1'
loop_
_atom_site_label
_atom_site_type_symbol
_atom_site_fract_x
_atom_site_fract_y
_atom_site_fract_z
Hg1 Hg 0.000 0.500 0.000
Hg2 Hg 0.000 0.000 0.500
Hg3 Hg 0.500 0.000 0.000
B1 B 0.000 0.000 0.000
Se1 Se 0.500 0.500 0.500
```

---

Q: What is the relative energy among the computed polymorphs in the first record?
A: 235.4 meV/atom

---

Q: The highest calculated total energy belongs to which entry?
A: Hg3BSe

---

Q: Which value of relative energy among the computed polymorphs does entry 4 give?
A: 0.0 meV/atom